## La6TeRu3 (PBE)

Data for a relaxed La6TeRu3 crystal.

Results
The calculation puts the formation energy without anion corrections at -5.116 eV per formula unit. Its mass density is 6.99 g/cm³. As for the size of the total moment: 0.00 μB per formula unit.

Structure (POSCAR):
```
La6TeRu3
1.0
4.294 0.000 0.000
0.000 11.590 -3.552
0.000 -0.177 12.122
La Te Ru
12 2 6
direct
0.750 0.463 0.599 La
0.250 0.537 0.401 La
0.750 0.931 0.090 La
0.250 0.069 0.910 La
0.750 0.391 0.045 La
0.250 0.609 0.955 La
0.750 0.697 0.262 La
0.250 0.303 0.738 La
0.750 0.147 0.442 La
0.250 0.853 0.558 La
0.750 0.751 0.775 La
0.250 0.249 0.225 La
0.750 0.071 0.686 Te
0.250 0.929 0.314 Te
0.750 0.479 0.830 Ru
0.250 0.521 0.170 Ru
0.750 0.687 0.506 Ru
0.250 0.313 0.494 Ru
0.750 0.156 0.100 Ru
0.250 0.844 0.900 Ru
```


## LaTeRu3 (PBE)

Data for a relaxed LaTeRu3 crystal.

Results
The calculation puts the formation energy without anion corrections at 8.333 eV per formula unit. Its mass density is 8.19 g/cm³. As for the size of the total moment: 1.75 μB per formula unit.

Structure (POSCAR):
```
LaTeRu3
1.0
4.869 0.000 0.000
0.000 4.869 0.000
0.000 0.000 4.869
Ru Te La
3 1 1
direct
0.000 0.500 0.000 Ru
0.000 0.000 0.500 Ru
0.500 0.000 0.000 Ru
0.500 0.500 0.500 Te
0.000 0.000 0.000 La
```


## LaTeRu3 (PBE)

Data for a relaxed LaTeRu3 crystal.

Results
The calculation puts the formation energy without anion corrections at 2.911 eV per formula unit. Its mass density is 8.32 g/cm³. As for the size of the total moment: 0.00 μB per formula unit.

Structure (POSCAR):
```
LaTeRu3
1.0
4.844 0.000 0.000
0.000 4.844 0.000
0.000 0.000 4.844
Ru Te La
3 1 1
direct
0.000 0.500 0.000 Ru
0.000 0.000 0.500 Ru
0.500 0.000 0.000 Ru
0.000 0.000 0.000 Te
0.500 0.500 0.500 La
```


## LaTe2Ru (PBE)

Data for a relaxed LaTe2Ru crystal.

Results
The calculation puts the formation energy without anion corrections at -1.227 eV per formula unit. Its mass density is 7.93 g/cm³. As for the size of the total moment: 0.97 μB per formula unit.

Structure (POSCAR):
```
LaTe2Ru
1.0
3.826 -0.044 0.000
-1.233 3.622 0.000
0.000 0.000 7.510
La Ru Te
1 1 2
direct
0.500 0.500 0.250 La
0.500 0.500 0.750 Ru
0.000 0.000 0.962 Te
0.000 0.000 0.538 Te
```


## LaTe2Ru (PBE)

Data for a relaxed LaTe2Ru crystal.

Results
The calculation puts the formation energy without anion corrections at -2.153 eV per formula unit. Its mass density is 7.06 g/cm³. As for the size of the total moment: 0.30 μB per formula unit.

Structure (POSCAR):
```
LaTe2Ru
1.0
4.710 0.000 0.000
0.000 4.256 -0.030
0.000 2.255 5.798
La Ru Te
1 1 2
direct
0.000 0.572 0.492 La
0.500 0.914 0.766 Ru
0.000 0.852 0.923 Te
0.500 0.163 0.318 Te
```


## LaTe2Ru (PBE)

Data for a relaxed LaTe2Ru crystal.

Results
The calculation puts the formation energy without anion corrections at -1.347 eV per formula unit. Its mass density is 6.35 g/cm³. As for the size of the total moment: 0.00 μB per formula unit.

Structure (POSCAR):
```
LaTe2Ru
1.0
5.726 0.000 0.000
0.000 5.726 0.000
2.863 2.863 7.904
Ru Te La
2 4 2
direct
0.500 0.500 0.000 Ru
0.250 0.750 0.500 Ru
0.541 0.125 0.250 Te
0.209 0.625 0.250 Te
0.375 0.459 0.750 Te
0.875 0.791 0.750 Te
0.000 0.000 0.000 La
0.750 0.250 0.500 La
```


## LaTe3Ru (PBE)

Data for a relaxed LaTe3Ru crystal.

Results
The calculation puts the formation energy without anion corrections at 3.893 eV per formula unit. Its mass density is 4.60 g/cm³. As for the size of the total moment: 3.30 μB per formula unit.

Structure (POSCAR):
```
LaTe3Ru
1.0
6.081 0.000 0.000
0.000 6.081 0.000
0.000 0.000 6.081
Ru Te La
1 3 1
direct
0.500 0.500 0.500 Ru
0.000 0.500 0.000 Te
0.000 0.000 0.500 Te
0.500 0.000 0.000 Te
0.000 0.000 0.000 La
```


## LaTe3Ru (PBE)

Data for a relaxed LaTe3Ru crystal.

Results
The calculation puts the formation energy without anion corrections at -1.726 eV per formula unit. Its mass density is 7.14 g/cm³. As for the size of the total moment: 0.01 μB per formula unit.

Structure (POSCAR):
```
LaTe3Ru
1.0
-1.930 -4.837 0.672
2.966 -0.587 4.293
-3.880 1.957 2.947
Ru Te La
1 3 1
direct
0.000 0.000 0.000 Ru
0.000 0.500 0.000 Te
0.000 0.000 0.500 Te
0.500 0.000 0.000 Te
0.500 0.500 0.500 La
```


## LaTe2Ru (PBE)

Data for a relaxed LaTe2Ru crystal.

Results
The calculation puts the formation energy without anion corrections at -1.743 eV per formula unit. Its mass density is 8.49 g/cm³. As for the size of the total moment: 0.00 μB per formula unit.

Structure (POSCAR):
```
LaTe2Ru
1.0
8.091 0.002 -0.006
-3.158 3.947 0.006
1.771 1.414 3.031
La Ru Te
1 1 2
direct
0.000 0.500 0.500 La
0.500 0.500 0.000 Ru
0.000 0.000 0.000 Te
0.500 0.000 0.500 Te
```


## LaTe2Ru (PBE)

Data for a relaxed LaTe2Ru crystal.

Results
The calculation puts the formation energy without anion corrections at -2.369 eV per formula unit. Its mass density is 7.89 g/cm³. As for the size of the total moment: 0.12 μB per formula unit.

Structure (POSCAR):
```
LaTe2Ru
1.0
5.528 0.003 -0.004
0.717 5.481 0.004
-2.324 -3.652 3.438
La Ru Te
1 1 2
direct
0.750 0.250 0.500 La
0.250 0.750 0.500 Ru
0.056 0.056 0.000 Te
0.444 0.444 0.000 Te
```


## LaTeRu4 (PBE)

Data for a relaxed LaTeRu4 crystal.

Results
The calculation puts the formation energy without anion corrections at 1.256 eV per formula unit. Its mass density is 10.08 g/cm³. As for the size of the total moment: 0.00 μB per formula unit.

Structure (POSCAR):
```
LaTeRu4
1.0
-0.620 0.954 5.264
-0.119 5.066 1.823
-4.611 2.095 1.832
La Te Ru
1 1 4
direct
0.000 0.000 0.000 La
0.750 0.750 0.750 Te
0.872 0.376 0.376 Ru
0.376 0.376 0.872 Ru
0.376 0.872 0.376 Ru
0.376 0.376 0.376 Ru
```


## LaTe2Ru (PBE)

Data for a relaxed LaTe2Ru crystal.

Results
The calculation puts the formation energy without anion corrections at -0.817 eV per formula unit. Its mass density is 8.56 g/cm³. As for the size of the total moment: 0.47 μB per formula unit.

Structure (POSCAR):
```
LaTe2Ru
1.0
-0.058 2.816 2.184
-2.717 1.380 -1.852
-4.891 -3.591 4.501
La Ru Te
1 1 2
direct
0.500 0.500 0.250 La
0.500 0.500 0.750 Ru
0.000 0.000 0.959 Te
0.000 0.000 0.541 Te
```


## LaTe2Ru2 (PBE)

Data for a relaxed LaTe2Ru2 crystal.

Results
The calculation puts the formation energy without anion corrections at -2.339 eV per formula unit. Its mass density is 8.68 g/cm³. As for the size of the total moment: 0.00 μB per formula unit.

Structure (POSCAR):
```
LaTe2Ru2
1.0
-2.447 1.341 -3.260
-3.390 0.190 2.623
-1.526 6.645 1.056
Ru Te La
2 2 1
direct
0.750 0.250 0.500 Ru
0.250 0.750 0.500 Ru
0.367 0.367 0.265 Te
0.633 0.633 0.735 Te
0.000 0.000 0.000 La
```


## La3Te2Ru (PBE)

Data for a relaxed La3Te2Ru crystal.

Results
The calculation puts the formation energy without anion corrections at -6.640 eV per formula unit. Its mass density is 6.68 g/cm³. As for the size of the total moment: 0.00 μB per formula unit.

Structure (POSCAR):
```
La3Te2Ru
1.0
4.391 0.000 -1.000
-0.227 4.385 -1.001
-0.032 -0.032 9.996
La Te Ru
3 2 1
direct
0.934 0.936 0.874 La
0.296 0.297 0.597 La
0.573 0.574 0.151 La
0.110 0.111 0.225 Te
0.759 0.760 0.523 Te
0.434 0.436 0.874 Ru
```


## LaTe2Ru (PBE)

Data for a relaxed LaTe2Ru crystal.

Results
The calculation puts the formation energy without anion corrections at -2.566 eV per formula unit. Its mass density is 8.05 g/cm³. As for the size of the total moment: 0.00 μB per formula unit.

Structure (POSCAR):
```
LaTe2Ru
1.0
-0.214 3.947 1.936
-2.251 0.494 3.750
4.202 0.191 5.081
La Ru Te
1 1 2
direct
0.750 0.750 0.750 La
0.250 0.250 0.250 Ru
0.979 0.979 0.064 Te
0.521 0.521 0.436 Te
```


## LaTe2Ru (PBE)

Data for a relaxed LaTe2Ru crystal.

Results
The calculation puts the formation energy without anion corrections at -2.351 eV per formula unit. Its mass density is 7.79 g/cm³. As for the size of the total moment: 0.00 μB per formula unit.

Structure (POSCAR):
```
LaTe2Ru
1.0
4.274 0.000 0.000
0.000 5.069 0.002
0.000 1.388 4.876
La Ru Te
1 1 2
direct
0.500 0.250 0.250 La
0.500 0.750 0.750 Ru
0.000 0.947 0.947 Te
0.000 0.553 0.553 Te
```


## LaTe2Ru (PBE)

Data for a relaxed LaTe2Ru crystal.

Results
The calculation puts the formation energy without anion corrections at -1.651 eV per formula unit. Its mass density is 7.87 g/cm³. As for the size of the total moment: 0.58 μB per formula unit.

Structure (POSCAR):
```
LaTe2Ru
1.0
3.975 0.000 0.000
0.000 3.975 0.000
0.000 0.000 6.615
La Ru Te
1 1 2
direct
0.000 0.000 0.469 La
0.500 0.500 0.838 Ru
0.000 0.000 0.935 Te
0.500 0.500 0.258 Te
```


## LaTe4Ru (PBE)

Data for a relaxed LaTe4Ru crystal.

Results
The calculation puts the formation energy without anion corrections at 2.710 eV per formula unit. Its mass density is 7.20 g/cm³. As for the size of the total moment: 2.31 μB per formula unit.

Structure (POSCAR):
```
LaTe4Ru
1.0
-3.210 -5.152 1.508
-5.353 -1.325 -2.951
-0.261 -4.804 -3.996
La Te Ru
1 4 1
direct
0.750 0.750 0.750 La
0.877 0.374 0.374 Te
0.374 0.374 0.877 Te
0.374 0.877 0.374 Te
0.374 0.374 0.374 Te
0.000 0.000 0.000 Ru
```


## LaTe2Ru (PBE)

Data for a relaxed LaTe2Ru crystal.

Results
The calculation puts the formation energy without anion corrections at -0.971 eV per formula unit. Its mass density is 8.31 g/cm³. As for the size of the total moment: 0.05 μB per formula unit.

Structure (POSCAR):
```
LaTe2Ru
1.0
-1.698 5.695 -0.522
-4.816 1.681 3.092
5.075 -2.924 1.131
La Ru Te
1 1 2
direct
0.500 0.500 0.000 La
0.750 0.250 0.500 Ru
0.000 0.000 0.000 Te
0.250 0.750 0.500 Te
```


## LaTe2Ru (PBE)

Data for a relaxed LaTe2Ru crystal.

Results
The calculation puts the formation energy without anion corrections at -0.511 eV per formula unit. Its mass density is 6.81 g/cm³. As for the size of the total moment: 0.00 μB per formula unit.

Structure (POSCAR):
```
LaTe2Ru
1.0
2.217 0.000 9.456
-1.109 1.920 9.456
-1.109 -1.920 9.456
Ru Te La
1 2 1
direct
0.500 0.500 0.500 Ru
0.886 0.886 0.886 Te
0.114 0.114 0.114 Te
0.000 0.000 0.000 La
```